[1]
Compound: BeSi2SnCl
Source: the Alexandria database
Functional: PBE
Structure: relaxed

Cell: 4.401 5.083 4.401 Å, 90.00 90.00 90.00°
Positions (direct):
Be  0.000  0.000  0.000
Si  0.000  0.000  0.500
Si  0.500  0.000  0.000
Sn  0.500  0.500  0.500
Cl  0.000  0.500  0.000

## Properties
- electronic total energy (eV for the cell shown) = -18.10
- uncorrected formation energy (eV/atom) = 0.46
- total moment (μB/f.u.) = 0.00

---

[2]
Compound: BeTlSi2Cl
Source: the Alexandria database
Functional: PBE
Structure: relaxed

Cell: 4.802 5.651 4.802 Å, 90.00 90.00 90.00°
Positions (direct):
Be  0.500  0.500  0.500
Tl  0.000  0.500  0.000
Si  0.000  0.000  0.500
Si  0.500  0.000  0.000
Cl  0.000  0.000  0.000

## Properties
- electronic total energy (eV for the cell shown) = -12.31
- uncorrected formation energy (eV/atom) = 1.29
- total moment (μB/f.u.) = 0.00

---

[3]
Compound: BeSiW2Cl
Source: the Alexandria database
Functional: PBE
Structure: relaxed

Cell: 4.546 3.583 4.546 Å, 90.00 90.00 90.00°
Positions (direct):
Be  0.000  0.500  0.000
Si  0.500  0.500  0.500
W  0.000  0.000  0.500
W  0.500  0.000  0.000
Cl  0.000  0.000  0.000

## Properties
- electronic total energy (eV for the cell shown) = -29.61
- uncorrected formation energy (eV/atom) = 1.46
- total moment (μB/f.u.) = 0.00

---

[4]
Compound: Sm2BeCl
Source: the Alexandria database
Functional: PBE
Structure: relaxed

Cell: 3.951 3.951 7.522 Å, 74.77 74.77 60.00°
Positions (direct):
Be  0.000  0.000  0.000
Sm  0.256  0.256  0.231
Sm  0.744  0.744  0.769
Cl  0.500  0.500  0.500

## Properties
- electronic total energy (eV for the cell shown) = -17.48
- uncorrected formation energy (eV/atom) = -0.62
- total moment (μB/f.u.) = 0.00